Entry 1:
Here is a PBEsol-optimized structure of Zn2CdHg from Alexandria via LeMat-Bulk. Energies are from SCAN.

**Energy above the lowest structure with this stoichiometry**: 1 meV per atom
**Mass density**: 9.91 g/cm3
**E_form**: 33 kJ/mol of formula units

abc: 2.7906 4.6734 11.4035
angles: 90.00 90.00 90.00
Space group Imm2 (No. 44)
Unique sites:
Zn: 0.0000 0.0000 0.0000
Zn: 0.0000 0.5000 0.3050
Cd: 0.0000 0.5000 0.7574
Hg: 0.0000 0.0000 0.5544

***

Entry 2:
Here is a PBEsol-optimized structure of ZnCd2Hg from Alexandria via LeMat-Bulk. Energies are from SCAN.

**Energy above the lowest structure with this stoichiometry**: 30 meV per atom
**Mass density**: 10.31 g/cm3
**E_form**: 33 kJ/mol of formula units

abc: 2.9192 4.0870 6.6236
angles: 90.00 90.00 90.00
Space group Pmm2 (No. 25)
Unique sites:
Zn: 0.0000 0.0000 0.0000
Cd: 0.0000 0.0000 0.4928
Cd: 0.5000 0.5000 0.2295
Hg: 0.5000 0.5000 0.7656